# 1
Computed, not measured: an optimized crystal structure of Cd2Pb2I at the PBE level of DFT.

a = 9.0633 Å, b = 9.0633 Å, c = 3.7814 Å
α = 90.00°, β = 90.00°, γ = 90.00°
Sites, in units of the cell vectors:
1 Cd 0.6685 0.1685 0.0000
2 Pb 0.3718 0.1282 0.5000
3 Pb 0.1282 0.6282 0.5000
4 I 0.5000 0.5000 0.0000
5 Pb 0.6282 0.8718 0.5000
6 Pb 0.8718 0.3718 0.5000
7 Cd 0.8315 0.6685 0.0000
8 I 0.0000 0.0000 0.0000
9 Cd 0.3315 0.8315 0.0000
10 Cd 0.1685 0.3315 0.0000

Calculated values
Offset from the most stable computed form (eV/atom): 0.040
Density (kg/m3): 8191

# 2
Computed, not measured: an optimized crystal structure of ScCr2In at the PBE level of DFT.

a = 9.4138 Å, b = 9.4138 Å, c = 9.4138 Å
α = 18.87°, β = 18.87°, γ = 18.87°
Each line ends with the local moment (μB).
Sites, in units of the cell vectors:
1 In 0.2500 0.2500 0.2500  -0.11
2 Cr 0.0009 0.0009 0.0009  3.06
3 Sc 0.7500 0.7500 0.7500  -0.32
4 Cr 0.4991 0.4991 0.4991  3.06

Calculated values
Density (kg/m3): 5741
VASP energy (eV/atom): -6.549

# 3
Computed, not measured: an optimized crystal structure of LiScSCl2 at the PBE level of DFT.

a = 4.3344 Å, b = 4.3344 Å, c = 5.0137 Å
α = 90.00°, β = 90.00°, γ = 90.00°
Sites, in units of the cell vectors:
1 S 0.0000 0.0000 0.5000
2 Cl 0.5000 0.0000 0.0000
3 Sc 0.5000 0.5000 0.5000
4 Cl 0.0000 0.5000 0.0000
5 Li 0.0000 0.0000 0.0000

Calculated values
Offset from the most stable computed form (eV/atom): 0.534
Density (kg/m3): 2730

# 4
Computed, not measured: an optimized crystal structure of TaOs2Ru at the PBE level of DFT.

a = 4.8170 Å, b = 4.8170 Å, c = 4.8175 Å
α = 132.04°, β = 132.04°, γ = 70.22°
Sites, in units of the cell vectors:
1 Ta 0.2499 0.7501 0.5000
2 Ru 0.4998 0.5002 0.0000
3 Os 0.7500 0.2499 0.5000
4 Os 0.0002 0.9998 0.0000

Calculated values
Offset from the most stable computed form (eV/atom): 0.055
Density (kg/m3): 18211

# 5
Computed, not measured: an optimized crystal structure of PrYBeAl at the PBE level of DFT.

a = 5.1014 Å, b = 5.1014 Å, c = 5.1014 Å
α = 60.00°, β = 60.00°, γ = 60.00°
Sites, in units of the cell vectors:
1 Al 0.0000 0.0000 0.0000
2 Be 0.5000 0.5000 0.5000
3 Y 0.7500 0.7500 0.7500
4 Pr 0.2500 0.2500 0.2500

Calculated values
Density (kg/m3): 4702
VASP energy (eV/atom): -4.761

# 6
Computed, not measured: an optimized crystal structure of Ho2NiPdC at the PBE level of DFT.

a = 3.6365 Å, b = 4.9339 Å, c = 4.9339 Å
α = 90.00°, β = 90.00°, γ = 90.00°
Sites, in units of the cell vectors:
1 Pd 0.5000 0.5000 0.5000
2 C 0.0000 0.0000 0.0000
3 Ho 0.0000 0.0000 0.5000
4 Ni 0.5000 0.0000 0.0000
5 Ho 0.0000 0.5000 0.0000

Calculated values
Density (kg/m3): 9510
VASP energy (eV/atom): -6.451

# 7
Computed, not measured: an optimized crystal structure of BaAl2 at the PBE level of DFT.

a = 7.8241 Å, b = 7.8241 Å, c = 7.8241 Å
α = 90.00°, β = 90.00°, γ = 90.00°
Sites, in units of the cell vectors:
1 Ba 0.5000 0.0000 0.5000
2 Al 0.4072 0.0928 0.0928
3 Al 0.4072 0.4072 0.5928
4 Ba 0.0000 0.5000 0.5000
5 Ba 0.0000 0.0000 0.0000
6 Al 0.9072 0.4072 0.9072
7 Ba 0.5000 0.5000 0.0000
8 Al 0.9072 0.0928 0.4072
9 Al 0.0928 0.5928 0.0928
10 Al 0.5928 0.5928 0.4072
11 Al 0.5928 0.9072 0.9072
12 Al 0.0928 0.9072 0.5928

Calculated values
Density (kg/m3): 2653
VASP energy (eV/atom): -2.503

# 8
Computed, not measured: an optimized crystal structure of Tb6Sb5As at the PBE level of DFT.

a = 7.5493 Å, b = 7.5592 Å, c = 7.5532 Å
α = 59.97°, β = 80.39°, γ = 70.50°
Sites, in units of the cell vectors:
1 Tb 0.7534 0.7601 0.0000
2 As 0.0000 0.0000 0.0000
3 Tb 0.7573 0.4031 0.6776
4 Tb 0.7573 0.0807 0.3224
5 Tb 0.2427 0.9193 0.6776
6 Sb 0.5000 0.8293 0.3413
7 Sb 0.5000 0.1707 0.6587
8 Sb 0.5000 0.5000 0.0000
9 Tb 0.2466 0.2399 0.0000
10 Tb 0.2427 0.5969 0.3224
11 Sb 0.0000 0.6659 0.6681
12 Sb 0.0000 0.3341 0.3319

Calculated values
Density (kg/m3): 7728
VASP energy (eV/atom): -5.621

# 9
Computed, not measured: an optimized crystal structure of K2Na15Li2 at the PBE level of DFT.

a = 9.1919 Å, b = 9.1919 Å, c = 9.1919 Å
α = 82.11°, β = 82.11°, γ = 82.11°
Sites, in units of the cell vectors:
1 K 0.3359 0.3359 0.3359
2 Na 0.1413 0.6503 0.6503
3 Li 0.0887 0.0887 0.0887
4 Na 0.7148 0.0000 0.2852
5 Na 0.3497 0.8587 0.3497
6 Na 0.5000 0.0000 0.0000
7 Li 0.9113 0.9113 0.9113
8 Na 0.7148 0.2852 0.0000
9 Na 0.0000 0.7148 0.2852
10 Na 0.2852 0.0000 0.7148
11 Na 0.3497 0.3497 0.8587
12 Na 0.6503 0.6503 0.1413
13 Na 0.0000 0.2852 0.7148
14 Na 0.0000 0.5000 0.0000
15 Na 0.6503 0.1413 0.6503
16 Na 0.8587 0.3497 0.3497
17 K 0.6641 0.6641 0.6641
18 Na 0.2852 0.7148 0.0000
19 Na 0.0000 0.0000 0.5000

Calculated values
Density (kg/m3): 959
VASP energy (eV/atom): -1.311

# 10
Computed, not measured: an optimized crystal structure of MgMnP2 at the PBE level of DFT.

a = 2.9775 Å, b = 3.7091 Å, c = 6.4967 Å
α = 90.00°, β = 90.00°, γ = 90.00°
Each line ends with the local moment (μB).
Sites, in units of the cell vectors:
1 Mn 0.5000 0.5000 0.9278  3.18
2 P 0.5000 0.5000 0.2885  0.00
3 P 0.0000 0.0000 0.8406  -0.09
4 Mg 0.0000 0.0000 0.4431  0.02

Calculated values
Density (kg/m3): 3268
VASP energy (eV/atom): -5.567

# 11
Computed, not measured: an optimized crystal structure of Ti5Ga8Pd at the PBE level of DFT.

a = 6.7182 Å, b = 6.7182 Å, c = 6.7182 Å
α = 109.08°, β = 110.25°, γ = 109.08°
Sites, in units of the cell vectors:
1 Ga 0.6131 0.4291 0.8176
2 Ti 0.9488 0.4116 0.1453
3 Ga 0.6533 0.8982 0.8775
4 Ga 0.9793 0.1018 0.7550
5 Ga 0.8159 0.2045 0.3869
6 Ti 0.7337 0.5884 0.5372
7 Ga 0.1225 0.7757 0.0207
8 Ga 0.3886 0.5709 0.1841
9 Ga 0.1824 0.7955 0.6114
10 Ti 0.4628 0.1965 0.0512
11 Ti 0.8547 0.8035 0.2663
12 Ti 0.5000 0.0000 0.5000
13 Pd 0.2500 0.5000 0.7500
14 Ga 0.2450 0.2243 0.3467

Calculated values
Density (kg/m3): 6429
VASP energy (eV/atom): -5.216

# 12
Computed, not measured: an optimized crystal structure of TmZnRhAu at the PBE level of DFT.

a = 4.6618 Å, b = 4.6618 Å, c = 4.6618 Å
α = 60.00°, β = 60.00°, γ = 60.00°
Sites, in units of the cell vectors:
1 Rh 0.5000 0.5000 0.5000
2 Tm 0.7500 0.7500 0.7500
3 Au 0.0000 0.0000 0.0000
4 Zn 0.2500 0.2500 0.2500

Calculated values
Density (kg/m3): 12383
VASP energy (eV/atom): -4.699

# 13
Computed, not measured: an optimized crystal structure of Tb2HoTm6 at the PBE level of DFT.

a = 4.9646 Å, b = 10.4914 Å, c = 10.4914 Å
α = 90.00°, β = 89.99°, γ = 90.00°
Sites, in units of the cell vectors:
1 Tm 0.4997 0.8339 0.0006
2 Tm 0.9997 0.6661 0.5006
3 Tm 0.4998 0.8329 0.3330
4 Tb 0.4997 0.8334 0.6667
5 Tm 0.4999 0.5005 0.3339
6 Tb 0.5003 0.1666 0.3333
7 Tm 0.0001 0.0005 0.1661
8 Tm 0.0003 0.3339 0.4994
9 Ho 0.0000 0.0000 0.5000
10 Tb 0.9997 0.6666 0.1667
11 Tm 0.0002 0.3329 0.1670
12 Tm 0.9998 0.6671 0.8330
13 Tm 0.9999 0.9995 0.8339
14 Ho 0.5000 0.5000 0.0000
15 Tb 0.0003 0.3334 0.8333
16 Tm 0.5002 0.1671 0.6670
17 Tm 0.5001 0.4995 0.6661
18 Tm 0.5003 0.1661 0.9994

Calculated values
Offset from the most stable computed form (eV/atom): 0.000
Density (kg/m3): 9094

# 14
Computed, not measured: an optimized crystal structure of LaOsPb at the PBE level of DFT.

a = 4.3694 Å, b = 4.3694 Å, c = 5.0295 Å
α = 90.00°, β = 90.00°, γ = 120.00°
Sites, in units of the cell vectors:
1 Pb 0.6667 0.3333 0.5737
2 Os 0.3333 0.6667 0.3727
3 La 0.0000 0.0000 0.0536

Calculated values
Density (kg/m3): 10710
VASP energy (eV/atom): -6.379

# 15
Computed, not measured: an optimized crystal structure of Sc2AlCdH at the PBE level of DFT.

a = 4.4550 Å, b = 4.4550 Å, c = 4.2254 Å
α = 90.00°, β = 90.00°, γ = 90.00°
Each line ends with the local moment (μB).
Sites, in units of the cell vectors:
1 H 0.0000 0.0000 0.0000  -0.01
2 Cd 0.5000 0.5000 0.5000  0.00
3 Al 0.0000 0.0000 0.5000  0.00
4 Sc 0.0000 0.5000 0.0000  0.31
5 Sc 0.5000 0.0000 0.0000  0.31

Calculated values
Offset from the most stable computed form (eV/atom): 0.015
Density (kg/m3): 4560

# 16
Computed, not measured: an optimized crystal structure of CaLaHg at the PBE level of DFT.

a = 5.3255 Å, b = 5.3255 Å, c = 3.8992 Å
α = 90.00°, β = 90.00°, γ = 120.00°
Sites, in units of the cell vectors:
1 Hg 0.6667 0.3333 0.2712
2 Ca 0.0000 0.0000 0.1003
3 La 0.3333 0.6667 0.6285

Calculated values
Offset from the most stable computed form (eV/atom): 0.131
Density (kg/m3): 6582